The following is a GGA-PBE calculation of Pr6Tl3Co after structural relaxation, from Alexandria.

a b c (Å): 5.6674 9.3335 12.7917
angles (deg): 90.00 116.08 90.00
Closest atoms and distances in Å follow each position.
Positions (direct):
Pr  0.0343  0.1897  0.0536  1 Co 2.96, 1 Tl 3.31
Pr  0.0343  0.3103  0.5536  1 Co 2.96, 1 Tl 3.31
Pr  0.2608  0.5099  0.2287  1 Co 2.64
Pr  0.2608  0.9901  0.7287  1 Co 2.64
Pr  0.3950  0.1527  0.4330  1 Co 3.08, 2 Pr 3.27-3.39, 1 Tl 3.34
Pr  0.3950  0.3473  0.9330  1 Co 3.08, 2 Pr 3.27-3.39, 1 Tl 3.34
Pr  0.6050  0.6527  0.0670  1 Co 3.08, 2 Pr 3.27-3.39, 1 Tl 3.34
Pr  0.6050  0.8473  0.5670  1 Co 3.08, 2 Pr 3.27-3.39, 1 Tl 3.34
Pr  0.7392  0.0099  0.2713  1 Co 2.64
Pr  0.7392  0.4901  0.7713  1 Co 2.64
Pr  0.9657  0.6897  0.4464  1 Co 2.96, 1 Tl 3.31
Pr  0.9657  0.8103  0.9464  1 Co 2.96, 1 Tl 3.31
Tl  0.2197  0.6519  0.7479  5 Pr 3.18-3.55
Tl  0.2197  0.8481  0.2479  5 Pr 3.18-3.55
Tl  0.5000  0.0000  0.0000  8 Pr 3.12-3.49
Tl  0.5000  0.5000  0.5000  8 Pr 3.12-3.49
Tl  0.7803  0.1519  0.7521  5 Pr 3.18-3.55
Tl  0.7803  0.3481  0.2521  5 Pr 3.18-3.55
Co  0.0000  0.0000  0.5000  2 Pr 2.64
Co  0.0000  0.5000  0.0000  2 Pr 2.64

Calculated values
**Symmetry**: P2_1/c (14)
**Energy of formation from the pure elements**: -0.19 eV per atom
**Magnetization**: 0.0 μB per formula unit
**V**: 608 Å³ per cell
**Calculated total energy**: -4.479 eV/atom

The following is a GGA-PBE calculation of Pr5TlCo2 after structural relaxation, from Alexandria.

a b c (Å): 9.0073 9.0073 9.0073
angles (deg): 127.92 127.92 76.75
Closest atoms and distances in Å follow each position.
Positions (direct):
Pr  0.0000  0.0000  0.0000  4 Co 3.10
Pr  0.0316  0.5316  0.8245  3 Co 2.96-2.97
Pr  0.2071  0.0316  0.5000  3 Co 2.96-2.97
Pr  0.2929  0.7929  0.8245  3 Co 2.96-2.97
Pr  0.4684  0.2929  0.5000  3 Co 2.96-2.97
Pr  0.5000  0.5000  0.0000  4 Co 3.10
Pr  0.5316  0.7071  0.5000  3 Co 2.96-2.97
Pr  0.7071  0.2071  0.1755  3 Co 2.96-2.97
Pr  0.7929  0.9684  0.5000  3 Co 2.96-2.97
Pr  0.9684  0.4684  0.1755  3 Co 2.96-2.97
Tl  0.2500  0.2500  0.0000  10 Pr 3.41-3.53
Tl  0.7500  0.7500  0.0000  10 Pr 3.41-3.53
Co  0.1304  0.3696  0.5000  1 Co 2.92, 8 Pr 2.96-3.10
Co  0.3696  0.8696  0.2392  1 Co 2.92, 8 Pr 2.96-3.10
Co  0.6304  0.1304  0.7608  1 Co 2.92, 8 Pr 2.96-3.10
Co  0.8696  0.6304  0.5000  1 Co 2.92, 8 Pr 2.96-3.10

Calculated values
**Symmetry**: I4/mcm (140)
**Energy of formation from the pure elements**: -0.12 eV per atom
**Magnetization**: 0.0 μB per formula unit
**V**: 442 Å³ per cell
**Calculated total energy**: -5.184 eV/atom

The following is a GGA-PBE calculation of Pr2TmCo after structural relaxation, from Alexandria.

a b c (Å): 3.8903 3.8903 8.9551
angles (deg): 90.03 90.03 60.09
Closest atoms and distances in Å follow each position.
Positions (direct):
Pr  0.0000  0.0000  0.0000  3 Tm 3.64, 9 Pr 3.85-3.90
Pr  0.6665  0.6665  0.3498  3 Co 2.73
Tm  0.3332  0.3332  0.6801  3 Co 2.65
Co  0.9999  0.9999  0.5228  3 Tm 2.65, 3 Pr 2.73

Calculated values
**Symmetry**: Cm (8)
**Energy of formation from the pure elements**: -0.01 eV per atom
**Magnetization**: 0.0 μB per formula unit
**V**: 117 Å³ per cell
**Polymorph energy (0 for the lowest one)**: 0 meV per atom
**Calculated total energy**: -5.290 eV/atom

The following is a GGA-PBE calculation of Pr2TmCo9 after structural relaxation, from Alexandria.

a b c (Å): 8.8462 8.8462 8.8462
angles (deg): 32.76 32.76 32.76
Closest atoms and distances in Å follow each position.
Positions (direct):
Pr  0.1390  0.1390  0.1390  12 Co 2.93-3.27, 3 Pr 3.20
Pr  0.8610  0.8610  0.8610  12 Co 2.93-3.27, 3 Pr 3.20
Tm  0.0000  0.0000  0.0000  18 Co 2.88-3.17
Co  0.0813  0.5758  0.5758  7 Co 2.42-2.65
Co  0.3329  0.3329  0.3329  6 Co 2.42
Co  0.4242  0.4242  0.9187  7 Co 2.42-2.65
Co  0.4242  0.9187  0.4242  7 Co 2.42-2.65
Co  0.5000  0.5000  0.5000  6 Co 2.65, 6 Pr 2.96
Co  0.5758  0.0813  0.5758  7 Co 2.42-2.65
Co  0.5758  0.5758  0.0813  7 Co 2.42-2.65
Co  0.6671  0.6671  0.6671  6 Co 2.42
Co  0.9187  0.4242  0.4242  7 Co 2.42-2.65

Calculated values
**Symmetry**: R-3m (166)
**Energy of formation from the pure elements**: -0.07 eV per atom
**Magnetization**: 10.3 μB per formula unit
**V**: 180 Å³ per cell
**Calculated total energy**: -6.569 eV/atom

The following is a GGA-PBE calculation of Pr2TmCo after structural relaxation, from Alexandria.

a b c (Å): 11.2022 11.2022 11.2022
angles (deg): 17.80 17.80 17.80
Closest atoms and distances in Å follow each position.
Positions (direct):
Pr  0.0766  0.0766  0.0766  1 Co 2.53
Pr  0.9234  0.9234  0.9234  1 Co 2.53
Tm  0.5000  0.5000  0.5000  6 Tm 3.47, 6 Pr 3.59
Co  0.0000  0.0000  0.0000  2 Pr 2.53

Calculated values
**Symmetry**: R-3m (166)
**Energy of formation from the pure elements**: 0.56 eV per atom
**Magnetization**: 0.9 μB per formula unit
**V**: 115 Å³ per cell
**Polymorph energy (0 for the lowest one)**: 570 meV per atom
**Calculated total energy**: -4.720 eV/atom

The following is a GGA-PBE calculation of PrTm3Co8 after structural relaxation, from Alexandria.

a b c (Å): 8.7968 8.7968 8.7968
angles (deg): 33.44 33.44 33.44
Closest atoms and distances in Å follow each position.
Positions (direct):
Pr  0.0000  0.0000  0.0000  12 Co 2.97-3.03, 4 Tm 3.11-3.13
Tm  0.3756  0.3756  0.3756  12 Co 2.97-3.05, 1 Tm 3.09, 3 Pr 3.11
Tm  0.4997  0.4997  0.4997  12 Co 2.92-2.97, 4 Tm 3.09-3.10
Tm  0.8744  0.8744  0.8744  12 Co 2.91-2.97, 3 Tm 3.10, 1 Pr 3.13
Co  0.1872  0.1872  0.1872  6 Co 2.50-2.51
Co  0.4366  0.4366  0.9322  6 Co 2.50-2.59
Co  0.4366  0.9322  0.4366  6 Co 2.50-2.59
Co  0.4444  0.9369  0.9369  6 Co 2.49-2.57
Co  0.6881  0.6881  0.6881  6 Co 2.55-2.59
Co  0.9322  0.4366  0.4366  6 Co 2.50-2.59
Co  0.9369  0.4444  0.9369  6 Co 2.49-2.57
Co  0.9369  0.9369  0.4444  6 Co 2.49-2.57

Calculated values
**Symmetry**: R3m (160)
**Energy of formation from the pure elements**: -0.19 eV per atom
**Magnetization**: 7.6 μB per formula unit
**V**: 184 Å³ per cell
**Calculated total energy**: -6.442 eV/atom

The following is a GGA-PBE calculation of PrTm3Co after structural relaxation, from Alexandria.

a b c (Å): 5.2411 5.2411 5.2411
angles (deg): 90.00 90.00 90.00
Closest atoms and distances in Å follow each position.
Positions (direct):
Pr  0.0000  0.0000  0.0000  12 Tm 3.71
Tm  0.0000  0.5000  0.5000  2 Co 2.62
Tm  0.5000  0.0000  0.5000  2 Co 2.62
Tm  0.5000  0.5000  0.0000  2 Co 2.62
Co  0.5000  0.5000  0.5000  6 Tm 2.62

Calculated values
**Symmetry**: Pm-3m (221)
**Energy of formation from the pure elements**: -0.07 eV per atom
**Magnetization**: 0.0 μB per formula unit
**V**: 144 Å³ per cell
**Polymorph energy (0 for the lowest one)**: 44 meV per atom
**Calculated total energy**: -5.130 eV/atom

The following is a GGA-PBE calculation of PrTmCo10 after structural relaxation, from Alexandria.

a b c (Å): 3.9472 4.9408 8.6272
angles (deg): 90.00 90.00 90.00
Closest atoms and distances in Å follow each position.
Positions (direct):
Pr  0.0000  0.0000  0.0000  18 Co 2.91-3.22
Tm  0.0000  0.5000  0.5000  6 Co 2.77-2.83
Co  0.0000  0.0000  0.3401  6 Co 2.41-2.45
Co  0.0000  0.0000  0.6599  6 Co 2.41-2.45
Co  0.0000  0.5000  0.1789  6 Co 2.41-2.51
Co  0.0000  0.5000  0.8211  6 Co 2.41-2.51
Co  0.5000  0.0000  0.5000  8 Co 2.41-2.45
Co  0.5000  0.2546  0.2568  8 Co 2.41-2.53
Co  0.5000  0.2546  0.7432  8 Co 2.41-2.53
Co  0.5000  0.5000  0.0000  8 Co 2.51-2.53
Co  0.5000  0.7454  0.2568  8 Co 2.41-2.53
Co  0.5000  0.7454  0.7432  8 Co 2.41-2.53

Calculated values
**Symmetry**: Pmmm (47)
**Energy of formation from the pure elements**: -0.07 eV per atom
**Magnetization**: 14.3 μB per formula unit
**V**: 168 Å³ per cell
**Calculated total energy**: -6.764 eV/atom